VASP calculation (GGA-PBE) on a relaxed InGaBr crystal.

Unit cell a=6.3628 b=4.1018 c=7.5268 alpha=90.00 beta=112.92 gamma=90.00
Last column: nearest neighbours and their distance in Å.
Positions (direct):
Br: 0.0338 0.7500 0.2653  2 Ga 2.88, 1 In 2.89
Br: 0.9662 0.2500 0.7347  2 Ga 2.88, 1 In 2.89
Ga: 0.3800 0.2500 0.3789  2 Ga 2.77, 2 Br 2.88, 2 In 3.03
Ga: 0.6200 0.7500 0.6211  2 Ga 2.77, 2 Br 2.88, 2 In 3.03
In: 0.5470 0.7500 0.1683  1 Br 2.89, 2 Ga 3.03, 2 In 3.13
In: 0.4530 0.2500 0.8317  1 Br 2.89, 2 Ga 3.03, 2 In 3.13

Values from the calculation:
The calculated volume is 180.9 Å³/cell. As for the space-group type: P2_1/m, No. 11. The uncorrected formation energy is -0.78 eV per formula unit. As for the density of states at the Fermi level: 0.20 states/eV/atom.